No. 1
Entry from Alexandria via LeMat-Bulk: a relaxed structure of Sr2In2Hg (PBE).

Output
- E above lowest polymorph: 129 meV/atom
- Crystal system: tetragonal
- E: -21.43 eV/cell
- SG: No. 127

abc: 8.7808 8.7808 4.3819
angles: 90.00 90.00 90.00
With the nearest neighbours (Å) after each atom.
Sites, in units of the cell vectors:
Sr: 0.1758 0.6758 0.5000  6 In 3.33-3.45
Sr: 0.6758 0.8242 0.5000  6 In 3.33-3.45
Sr: 0.8242 0.3242 0.5000  6 In 3.33-3.45
Sr: 0.3242 0.1758 0.5000  6 In 3.33-3.45
Hg: 0.0000 0.0000 0.0000  4 In 3.48
Hg: 0.5000 0.5000 0.0000  4 In 3.48
In: 0.3773 0.8773 0.0000  1 In 3.05, 2 Sr 3.33
In: 0.8773 0.6227 0.0000  1 In 3.05, 2 Sr 3.33
In: 0.6227 0.1227 0.0000  1 In 3.05, 2 Sr 3.33
In: 0.1227 0.3773 0.0000  1 In 3.05, 2 Sr 3.33

***

No. 2
Entry from Alexandria via LeMat-Bulk: a relaxed structure of Sr2In2Hg15 (PBE).

Output
- Crystal system: trigonal
- E: -16.19 eV/cell
- SG: No. 166

abc: 8.3639 8.3639 8.3639
angles: 73.55 73.55 73.55
With the nearest neighbours (Å) after each atom.
Sites, in units of the cell vectors:
Sr: 0.3013 0.3013 0.3013  15 Hg 3.59-3.78, 1 In 3.72
Sr: 0.6987 0.6987 0.6987  15 Hg 3.59-3.78, 1 In 3.72
In: 0.0963 0.0963 0.0963  9 Hg 3.16-3.44, 1 In 3.49
In: 0.9037 0.9037 0.9037  9 Hg 3.16-3.44, 1 In 3.49
Hg: 0.5000 0.0000 0.0000  2 In 3.16, 8 Hg 3.24-3.38
Hg: 0.0000 0.0000 0.5000  2 In 3.16, 8 Hg 3.24-3.38
Hg: 0.0000 0.5000 0.0000  2 In 3.16, 8 Hg 3.24-3.38
Hg: 0.0000 0.7037 0.2963  4 Hg 2.97-3.03
Hg: 0.7037 0.2963 0.0000  4 Hg 2.97-3.03
Hg: 0.2963 0.0000 0.7037  4 Hg 2.97-3.03
Hg: 0.2963 0.7037 0.0000  4 Hg 2.97-3.03
Hg: 0.7037 0.0000 0.2963  4 Hg 2.97-3.03
Hg: 0.0000 0.2963 0.7037  4 Hg 2.97-3.03
Hg: 0.1723 0.5960 0.5960  6 Hg 2.95-3.24
Hg: 0.5960 0.5960 0.1723  6 Hg 2.95-3.24
Hg: 0.5960 0.1723 0.5960  6 Hg 2.95-3.24
Hg: 0.8277 0.4040 0.4040  6 Hg 2.95-3.24
Hg: 0.4040 0.4040 0.8277  6 Hg 2.95-3.24
Hg: 0.4040 0.8277 0.4040  6 Hg 2.95-3.24

***

No. 3
Entry from Alexandria via LeMat-Bulk: a relaxed structure of Sr2InHg (PBE).

Output
- Crystal system: cubic
- E: -7.26 eV/cell
- SG: No. 216

abc: 5.6452 5.6452 5.6452
angles: 60.00 60.00 60.00
With the nearest neighbours (Å) after each atom.
Sites, in units of the cell vectors:
Hg: 0.5000 0.5000 0.5000  4 In 3.46, 4 Sr 3.46
In: 0.7500 0.7500 0.7500  4 Hg 3.46, 4 Sr 3.46
Sr: 0.0000 0.0000 0.0000  4 In 3.46, 4 Sr 3.46
Sr: 0.2500 0.2500 0.2500  4 Hg 3.46, 4 Sr 3.46

***

No. 4
Entry from Alexandria via LeMat-Bulk: a relaxed structure of SrInHg3 (PBE).

Output
- E above lowest polymorph: 165 meV/atom
- Crystal system: orthorhombic
- E: -12.05 eV/cell
- SG: No. 55

abc: 5.7937 6.9378 8.1631
angles: 90.00 90.00 90.00
With the nearest neighbours (Å) after each atom.
Sites, in units of the cell vectors:
Sr: 0.5000 0.0000 0.0000  6 Hg 3.31-3.47
Sr: 0.5000 0.5000 0.5000  6 Hg 3.31-3.47
In: 0.0000 0.5000 0.0000  6 Hg 2.86-2.94
In: 0.0000 0.0000 0.5000  6 Hg 2.86-2.94
Hg: 0.5000 0.5000 0.0000  2 In 2.90
Hg: 0.5000 0.0000 0.5000  2 In 2.90
Hg: 0.0000 0.6237 0.3346  2 In 2.86-2.94, 1 Hg 3.20
Hg: 0.0000 0.1237 0.1654  2 In 2.86-2.94, 1 Hg 3.20
Hg: 0.0000 0.3763 0.6654  2 In 2.86-2.94, 1 Hg 3.20
Hg: 0.0000 0.8763 0.8346  2 In 2.86-2.94, 1 Hg 3.20

***

No. 5
Entry from Alexandria via LeMat-Bulk: a relaxed structure of SrInHg4 (PBE).

Output
- E above lowest polymorph: 0 meV/atom
- Crystal system: monoclinic
- E: -7.27 eV/cell
- SG: No. 10

abc: 5.3908 5.3891 6.2842
angles: 90.00 63.55 90.00
With the nearest neighbours (Å) after each atom.
Sites, in units of the cell vectors:
Sr: 0.0000 0.5000 0.5000  10 Hg 3.32-3.63
In: 0.5000 0.0000 0.5000  10 Hg 3.29-3.68
Hg: 0.3215 0.5000 0.8556  4 Hg 3.12-3.18, 2 Sr 3.33-3.38, 2 In 3.36
Hg: 0.6785 0.5000 0.1444  4 Hg 3.12-3.18, 2 Sr 3.33-3.38, 2 In 3.36
Hg: 0.1723 0.0000 0.1545  4 Hg 3.18-3.23, 2 In 3.29-3.35, 2 Sr 3.32
Hg: 0.8277 0.0000 0.8455  4 Hg 3.18-3.23, 2 In 3.29-3.35, 2 Sr 3.32

***

No. 6
Entry from Alexandria via LeMat-Bulk: a relaxed structure of SrIn4Hg2 (PBE).

Output
- E above lowest polymorph: 0 meV/atom
- Crystal system: monoclinic
- E: -14.79 eV/cell
- SG: No. 12

abc: 5.3476 5.3481 8.9466
angles: 75.99 75.99 53.18
With the nearest neighbours (Å) after each atom.
Sites, in units of the cell vectors:
Sr: 0.0000 0.0000 0.0000  6 Hg 3.34-3.45, 2 In 3.73
In: 0.4293 0.4293 0.7024  3 Hg 3.08-3.26, 3 In 3.17-3.27
In: 0.1432 0.1432 0.5683  6 In 3.17-3.29, 3 Hg 3.34-3.50
In: 0.5707 0.5707 0.2976  3 Hg 3.08-3.26, 3 In 3.17-3.27
In: 0.8568 0.8568 0.4317  6 In 3.17-3.29, 3 Hg 3.34-3.50
Hg: 0.2746 0.2746 0.1828  4 In 3.08-3.34, 3 Sr 3.34-3.45
Hg: 0.7254 0.7254 0.8172  4 In 3.08-3.34, 3 Sr 3.34-3.45

***

No. 7
Entry from Alexandria via LeMat-Bulk: a relaxed structure of SrIn2Hg3 (PBE).

Output
- E above lowest polymorph: 51 meV/atom
- Crystal system: tetragonal
- E: -18.68 eV/cell
- SG: No. 139

abc: 4.6247 4.6247 16.5970
angles: 98.01 98.01 90.00
With the nearest neighbours (Å) after each atom.
Sites, in units of the cell vectors:
Sr: 0.8466 0.8466 0.6933  4 Hg 3.49, 4 In 3.67
Sr: 0.1534 0.1534 0.3067  4 Hg 3.49, 4 In 3.67
In: 0.2500 0.7500 0.5000  4 Hg 3.02, 4 In 3.27
In: 0.7500 0.2500 0.5000  4 Hg 3.02, 4 In 3.27
In: 0.3979 0.3979 0.7958  5 Hg 2.87-2.99
In: 0.6021 0.6021 0.2042  5 Hg 2.87-2.99
Hg: 0.4561 0.9561 0.9123  1 Hg 2.85, 2 In 2.99
Hg: 0.9561 0.4561 0.9123  1 Hg 2.85, 2 In 2.99
Hg: 0.5439 0.0439 0.0877  1 Hg 2.85, 2 In 2.99
Hg: 0.3096 0.3096 0.6192  5 In 2.87-3.02
Hg: 0.6904 0.6904 0.3808  5 In 2.87-3.02
Hg: 0.0439 0.5439 0.0877  1 Hg 2.85, 2 In 2.99

***

No. 8
Entry from Alexandria via LeMat-Bulk: a relaxed structure of SrInHg6 (PBE).

Output
- E above lowest polymorph: 0 meV/atom
- Crystal system: orthorhombic
- E: -7.89 eV/cell
- SG: No. 38

abc: 5.2242 6.7437 6.7437
angles: 113.02 90.00 90.00
With the nearest neighbours (Å) after each atom.
Sites, in units of the cell vectors:
Sr: 0.5000 0.3842 0.6158  10 Hg 3.34-3.44
In: 0.0000 0.1201 0.8799  10 Hg 3.28-3.50
Hg: 0.0000 0.0581 0.3721  7 Hg 3.20-3.41, 2 In 3.28-3.50, 2 Sr 3.40
Hg: 0.0000 0.6279 0.9419  7 Hg 3.20-3.41, 2 In 3.28-3.50, 2 Sr 3.40
Hg: 0.0000 0.5757 0.4243  8 Hg 3.20-3.41, 2 Sr 3.39
Hg: 0.5000 0.4332 0.1275  7 Hg 3.20-3.50, 2 Sr 3.34-3.44, 2 In 3.36
Hg: 0.5000 0.8725 0.5668  7 Hg 3.20-3.50, 2 Sr 3.34-3.44, 2 In 3.36
Hg: 0.5000 0.9279 0.0721  8 Hg 3.21-3.50, 2 In 3.39